# Pm5Ga2Ag2 (PBE, optimized geometry)
data_Pm5Ga2Ag2
_chemical_formula_sum 'Pm20 Ga8 Ag8'
_symmetry_space_group_name_H-M 'C m c e'
_symmetry_Int_Tables_number 64
_symmetry_space_group_name_Hall '-C 2ac 2'
_cell_length_a 16.5155
_cell_length_b 7.7694
_cell_length_c 7.7132
_cell_angle_alpha 90.00
_cell_angle_beta 90.00
_cell_angle_gamma 90.00
loop_
_atom_site_label
_atom_site_type_symbol
_atom_site_fract_x
_atom_site_fract_y
_atom_site_fract_z
Pm1 Pm 0.0000 0.0000 0.0000
Pm2 Pm 0.1359 0.1820 0.3228
Ga1 Ga 0.0000 0.1176 0.6169
Ag1 Ag 0.2143 0.0000 0.0000
# Formation enthalpy at 0 K ... -0.349 eV/atom